Y7Cu2Au2: relaxed, GGA-PBE.

For the size of the total moment, the calculation gives 0.00 μB per formula unit. The value obtained for the theoretical density is 6.4 g/cm3. Its crystal system is orthorhombic. The formation enthalpy at 0 K comes out at -0.169 eV per atom. As for the total energy: -5.6233 eV per atom.

It has space group Cmmm (No. 65), with a = 7.681 Å, b = 10.915 Å, c = 7.133 Å, α = 90.00°, β = 90.00° and γ = 90.00°. Symmetry generates all atoms from Y at (0.000, 0.000, 0.000), Y at (0.000, 0.500, 0.254), Y at (0.250, 0.250, 0.265), Cu at (0.000, 0.296, 0.000) and Au at (0.186, 0.000, 0.500).


LiErCdAg: relaxed, GGA-PBE.

For the size of the total moment, the calculation gives 0.00 μB per formula unit. The value obtained for the theoretical density is 8.0 g/cm3. Its crystal system is cubic. The formation enthalpy at 0 K comes out at -0.216 eV per atom. As for the total energy: -2.7763 eV per atom.

It has space group F-43m (No. 216), with a = 6.893 Å, b = 6.893 Å, c = 6.893 Å, α = 90.00°, β = 90.00° and γ = 90.00°. Symmetry generates all atoms from Li at (0.000, 0.000, 0.000), Er at (0.250, 0.250, 0.750), Cd at (0.250, 0.250, 0.250) and Ag at (0.000, 0.000, 0.500).


Ta3WS: relaxed, GGA-PBE.

For the size of the total moment, the calculation gives 0.00 μB per formula unit. The value obtained for the theoretical density is 10.8 g/cm3. Its crystal system is cubic. The energy above the most stable polymorph in this dataset is 1147.8 meV per atom. As for the total energy: -8.8520 eV per atom. As for the energy relative to the elements, uncorrected: 1.68 eV/atom.

It has space group Pm-3m (No. 221), with a = 4.889 Å, b = 4.889 Å, c = 4.889 Å, α = 90.00°, β = 90.00° and γ = 90.00°. Symmetry generates all atoms from Ta at (0.000, 0.000, 0.500), W at (0.000, 0.000, 0.000) and S at (0.500, 0.500, 0.500).